Entry 1:
Crystalline Ac3As2P at its relaxed geometry, computed with GGA-PBE.

Properties
energy: -5.98 eV per atom
formation energy: -1.48 eV per atom
size of the total moment: 0.00 μB per formula unit
density: 7.3 g/cm3

The structure in CIF format:
```
data_Ac3As2P
_cell_length_a 9.037
_cell_length_b 12.776
_cell_length_c 27.103
_cell_angle_alpha 90.00
_cell_angle_beta 90.00
_cell_angle_gamma 90.00
_symmetry_space_group_name_H-M 'F d d d'
_symmetry_Int_Tables_number 70
loop_
_symmetry_equiv_pos_as_xyz
'x,y,z'
'-x,-y,-z'
'-x+1/4,-y+1/4,z'
'x+1/4,y+1/4,-z'
'x,-y+1/4,-z+1/4'
'-x,y+1/4,z+1/4'
'-x+1/4,y,-z+1/4'
'x+1/4,-y,z+1/4'
'x,y+1/2,z+1/2'
'-x,-y+1/2,-z+1/2'
'-x+1/4,-y+3/4,z+1/2'
'x+1/4,y+3/4,-z+1/2'
'x,-y+3/4,-z+3/4'
'-x,y+3/4,z+3/4'
'-x+1/4,y+1/2,-z+3/4'
'x+1/4,-y+1/2,z+3/4'
'x+1/2,y,z+1/2'
'-x+1/2,-y,-z+1/2'
'-x+3/4,-y+1/4,z+1/2'
'x+3/4,y+1/4,-z+1/2'
'x+1/2,-y+1/4,-z+3/4'
'-x+1/2,y+1/4,z+3/4'
'-x+3/4,y,-z+3/4'
'x+3/4,-y,z+3/4'
'x+1/2,y+1/2,z'
'-x+1/2,-y+1/2,-z'
'-x+3/4,-y+3/4,z'
'x+3/4,y+3/4,-z'
'x+1/2,-y+3/4,-z+1/4'
'-x+1/2,y+3/4,z+1/4'
'-x+3/4,y+1/2,-z+1/4'
'x+3/4,-y+1/2,z+1/4'
loop_
_atom_site_label
_atom_site_type_symbol
_atom_site_fract_x
_atom_site_fract_y
_atom_site_fract_z
_atom_site_occupancy
Ac1 Ac 0.121 0.375 0.375 1
Ac2 Ac 0.123 0.373 0.209 1
As1 As 0.125 0.125 0.375 1
As2 As 0.125 0.125 0.542 1
P1 P 0.125 0.125 0.042 1
```


Entry 2:
Crystalline Ac7AsP5 at its relaxed geometry, computed with GGA-PBE.

Properties
energy: -6.00 eV per atom
formation energy: -1.35 eV per atom
size of the total moment: 0.87 μB per formula unit
density: 7.2 g/cm3

The structure in CIF format:
```
data_Ac7AsP5
_cell_length_a 4.422
_cell_length_b 14.592
_cell_length_c 26.143
_cell_angle_alpha 90.00
_cell_angle_beta 90.00
_cell_angle_gamma 90.00
_symmetry_space_group_name_H-M 'C m c m'
_symmetry_Int_Tables_number 63
_symmetry_space_group_name_Hall '-C 2c 2'
loop_
_atom_site_label
_atom_site_type_symbol
_atom_site_fract_x
_atom_site_fract_y
_atom_site_fract_z
_atom_site_occupancy
Ac1 Ac 0.000 0.043 0.250 1
Ac2 Ac 0.000 0.137 0.535 1
Ac3 Ac 0.000 0.318 0.175 1
Ac4 Ac 0.000 0.413 0.605 1
As1 As 0.000 0.298 0.750 1
P1 P 0.000 0.047 0.646 1
P2 P 0.000 0.227 0.074 1
P3 P 0.000 0.500 0.000 1
```


Entry 3:
Crystalline Ac6As4P at its relaxed geometry, computed with GGA-PBE.

Properties
energy: -5.56 eV per atom
formation energy: -1.14 eV per atom
size of the total moment: 0.00 μB per formula unit
density: 7.8 g/cm3

The structure in CIF format:
```
data_Ac6As4P
_cell_length_a 12.6741
_cell_length_b 12.6741
_cell_length_c 15.4534
_cell_angle_alpha 90.00
_cell_angle_beta 90.00
_cell_angle_gamma 120.00
_symmetry_space_group_name_H-M 'R -3 c'
_symmetry_Int_Tables_number 167
_symmetry_space_group_name_Hall '-R 3 2"c'
loop_
_atom_site_label
_atom_site_type_symbol
_atom_site_fract_x
_atom_site_fract_y
_atom_site_fract_z
_atom_site_occupancy
Ac1 Ac 0.0330 0.1986 0.3883 1
As1 As 0.0000 0.0000 0.2500 1
As2 As 0.0000 0.3851 0.2500 1
P1 P 0.0000 0.0000 0.0000 1
```


Entry 4:
Crystalline Ac7As5P at its relaxed geometry, computed with GGA-PBE.

Properties
energy: -5.73 eV per atom
formation energy: -1.31 eV per atom
size of the total moment: 0.85 μB per formula unit
density: 7.5 g/cm3

The structure in CIF format:
```
data_Ac7As5P
_cell_length_a 4.474
_cell_length_b 14.876
_cell_length_c 26.541
_cell_angle_alpha 90.00
_cell_angle_beta 90.00
_cell_angle_gamma 90.00
_symmetry_space_group_name_H-M 'C m c m'
_symmetry_Int_Tables_number 63
_symmetry_space_group_name_Hall '-C 2c 2'
loop_
_atom_site_label
_atom_site_type_symbol
_atom_site_fract_x
_atom_site_fract_y
_atom_site_fract_z
_atom_site_occupancy
Ac1 Ac 0.000 0.052 0.250 1
Ac2 Ac 0.000 0.138 0.536 1
Ac3 Ac 0.000 0.314 0.179 1
Ac4 Ac 0.000 0.414 0.606 1
As1 As 0.000 0.049 0.647 1
As2 As 0.000 0.226 0.075 1
As3 As 0.000 0.500 0.000 1
P1 P 0.000 0.300 0.750 1
```


Entry 5:
Crystalline Ac3AsP2 at its relaxed geometry, computed with GGA-PBE.

Properties
energy: -6.10 eV per atom
formation energy: -1.47 eV per atom
size of the total moment: 0.00 μB per formula unit
density: 7.1 g/cm3

The structure in CIF format:
```
data_Ac3AsP2
_cell_length_a 4.485
_cell_length_b 4.485
_cell_length_c 19.023
_cell_angle_alpha 90.00
_cell_angle_beta 90.00
_cell_angle_gamma 90.00
_symmetry_space_group_name_H-M 'I 4/m m m'
_symmetry_Int_Tables_number 139
_symmetry_space_group_name_Hall '-I 4 2'
loop_
_atom_site_label
_atom_site_type_symbol
_atom_site_fract_x
_atom_site_fract_y
_atom_site_fract_z
_atom_site_occupancy
Ac1 Ac 0.000 0.000 0.000 1
Ac2 Ac 0.000 0.000 0.331 1
As1 As 0.000 0.000 0.500 1
P1 P 0.000 0.000 0.167 1
```


Entry 6:
Crystalline AcAs4P at its relaxed geometry, computed with GGA-PBE.

Properties
energy: -4.79 eV per atom
formation energy: -0.10 eV per atom
size of the total moment: 0.00 μB per formula unit
density: 6.9 g/cm3

The structure in CIF format:
```
data_AcAs4P
_cell_length_a 8.121
_cell_length_b 8.121
_cell_length_c 8.121
_cell_angle_alpha 90.00
_cell_angle_beta 90.00
_cell_angle_gamma 90.00
_symmetry_space_group_name_H-M 'F -4 3 m'
_symmetry_Int_Tables_number 216
_symmetry_space_group_name_Hall 'F -4 2 3'
loop_
_atom_site_label
_atom_site_type_symbol
_atom_site_fract_x
_atom_site_fract_y
_atom_site_fract_z
_atom_site_occupancy
Ac1 Ac 0.000 0.000 0.000 1
As1 As 0.114 0.114 0.386 1
P1 P 0.250 0.250 0.750 1
```